1.
## LuPuAgSn (GGA-PBE)

Data for a geometry-optimized LuPuAgSn structure.

Values from the calculation:
Space-group type: F-43m (216)

Lattice parameters (Å, degrees): 5.220 5.220 5.220 60.00 60.00 60.00
Atoms (fractional coordinates):
Lu 0.000 0.000 0.000
Sn 0.250 0.250 0.250
Ag 0.750 0.750 0.750
Pu 0.500 0.500 0.500

2.
## LuPuTcAg (GGA-PBE)

Data for a geometry-optimized LuPuTcAg structure.

Values from the calculation:
Space-group type: F-43m (216)

Lattice parameters (Å, degrees): 4.916 4.916 4.916 60.00 60.00 60.00
Atoms (fractional coordinates):
Lu 0.500 0.500 0.500
Tc 0.750 0.750 0.750
Ag 0.250 0.250 0.250
Pu 0.000 0.000 0.000

3.
## RbLuAg2 (GGA-PBE)

Data for a geometry-optimized RbLuAg2 structure.

Values from the calculation:
Space-group type: P4/mmm (123)

Lattice parameters (Å, degrees): 3.735 3.735 8.462 90.00 90.00 90.00
Atoms (fractional coordinates):
Lu 0.500 0.500 0.000
Rb 0.500 0.500 0.500
Ag 0.000 0.000 0.825
Ag 0.000 0.000 0.175

4.
## Lu2ReAg (GGA-PBE)

Data for a geometry-optimized Lu2ReAg structure.

Values from the calculation:
Space-group type: P4/mmm (123)

Lattice parameters (Å, degrees): 3.397 3.397 7.278 90.00 90.00 90.00
Atoms (fractional coordinates):
Re 0.500 0.500 0.000
Lu 0.000 0.000 0.777
Lu 0.000 0.000 0.223
Ag 0.500 0.500 0.500

5.
## LuScReAg (GGA-PBE)

Data for a geometry-optimized LuScReAg structure.

Values from the calculation:
Space-group type: F-43m (216)

Lattice parameters (Å, degrees): 4.781 4.781 4.781 60.00 60.00 60.00
Atoms (fractional coordinates):
Sc 0.250 0.250 0.250
Re 0.000 0.000 0.000
Lu 0.750 0.750 0.750
Ag 0.500 0.500 0.500

6.
## Lu2AgRh (GGA-PBE)

Data for a geometry-optimized Lu2AgRh structure.

Values from the calculation:
Space-group type: P4/mmm (123)

Lattice parameters (Å, degrees): 3.416 3.416 7.139 90.00 90.00 90.00
Atoms (fractional coordinates):
Lu 0.000 0.000 0.772
Lu 0.000 0.000 0.228
Rh 0.500 0.500 0.000
Ag 0.500 0.500 0.500

7.
## LuAgRh (GGA-PBE)

Data for a geometry-optimized LuAgRh structure.

Values from the calculation:
Space-group type: I4mm (107)

Lattice parameters (Å, degrees): 3.466 3.466 5.309 109.05 109.05 90.00
Atoms (fractional coordinates):
Lu 0.937 0.937 0.875
Rh 0.290 0.290 0.580
Ag 0.622 0.622 0.245

8.
## LuAgSbRh (GGA-PBE)

Data for a geometry-optimized LuAgSbRh structure.

Values from the calculation:
Space-group type: F-43m (216)
Raw formation energy, eV per atom: -0.502

Lattice parameters (Å, degrees): 4.789 4.789 4.789 60.00 60.00 60.00
Atoms (fractional coordinates):
Sb 0.500 0.500 0.500
Lu 0.000 0.000 0.000
Rh 0.750 0.750 0.750
Ag 0.250 0.250 0.250

Volume: 100.6; 84.0; 118.0; 84.0; 77.3; 83.3; 56.6; 77.7 (Å³ per cell)
Raw total energy: -0.247; -0.294; -0.106; -0.229; -0.243; -0.201; -0.198; -0.192 (Ha/atom)
D(E_F): 9.14; 8.99; 2.02; 2.22; 2.23; 4.60; 1.84; 2.13 (states/eV per cell)